Entry 1:
Er3Zr2Ag2: optimized geometry, PBE-GGA.

Summary:
E in eV per cell: -72.781
M_tot in μB per cell: 0.000
Mass density in Mg/m³: 8.69
Calculated formation energy in meV per atom: 13.8

Unit cell a=4.7980 b=21.8826 c=3.2773 alpha=90.00 beta=90.00 gamma=90.00
Closest atoms and distances in Å follow each position.
Space group Cmmm (No. 65)
Inequivalent atoms, fractional coordinates:
Er 0.0000 0.0000 0.0000 (multiplicity 2)  4 Er 3.22-3.28, 8 Ag 3.32
Er 0.0000 0.1473 0.0000 (multiplicity 4)  3 Er 3.22-3.28, 6 Zr 3.31-3.32, 4 Ag 3.32
Zr 0.0000 0.2789 0.5000 (multiplicity 4)  2 Zr 2.71
Ag 0.0000 0.4266 0.5000 (multiplicity 4)  3 Ag 3.21-3.28, 1 Zr 3.23, 8 Er 3.32

Entry 2:
Tl3Pd7Au: optimized geometry, PBE-GGA.

Summary:
E in eV per cell: -93.389
M_tot in μB per cell: 0.000
Mass density in Mg/m³: 12.05
Calculated formation energy in meV per atom: 2.9

Unit cell a=9.0284 b=9.7122 c=5.3989 alpha=90.00 beta=115.13 gamma=90.00
Closest atoms and distances in Å follow each position.
Space group C2/m (No. 12)
Inequivalent atoms, fractional coordinates:
Tl 0.0000 0.0000 0.0000 (multiplicity 2)  6 Pd 2.71-2.80
Tl 0.0000 0.2248 0.5000 (multiplicity 4)  7 Pd 2.67-2.81
Pd 0.0000 0.5000 0.5000 (multiplicity 2)  2 Tl 2.67, 2 Au 2.70, 2 Pd 2.76
Pd 0.1692 0.2492 0.1750 (multiplicity 8)  3 Tl 2.76-2.80, 1 Au 2.82, 4 Pd 2.83-3.05
Pd 0.2049 0.0000 0.5402 (multiplicity 4)  3 Tl 2.71-2.81, 3 Pd 2.76-2.85, 1 Au 2.76
Au 0.0000 0.5000 0.0000 (multiplicity 2)  8 Pd 2.70-2.82

Entry 3:
Pr2Al5Hg: optimized geometry, PBE-GGA.

Summary:
E in eV per cell: -62.371
M_tot in μB per cell: 0.000
Mass density in Mg/m³: 5.79
Calculated formation energy in meV per atom: -326.5

Unit cell a=6.3074 b=6.3074 c=8.9038 alpha=90.00 beta=90.00 gamma=90.00
Closest atoms and distances in Å follow each position.
Space group I4mm (No. 107)
Inequivalent atoms, fractional coordinates:
Pr 0.0000 0.5000 0.0000 (multiplicity 4)  10 Al 3.15-3.17, 2 Hg 3.21
Al 0.0000 0.0000 0.4822 (multiplicity 2)  8 Al 3.15-3.17, 4 Pr 3.16
Al 0.2295 0.2295 0.7516 (multiplicity 8)  4 Al 2.90-3.17, 1 Hg 2.93, 4 Pr 3.15-3.17
Hg 0.0000 0.0000 0.0645 (multiplicity 2)  4 Al 2.93, 4 Pr 3.21

Entry 4:
SrBeCd2: optimized geometry, PBE-GGA.

Summary:
E in eV per cell: -6.744
M_tot in μB per cell: 0.000
Mass density in Mg/m³: 5.31
Calculated formation energy in meV per atom: 123.4

Unit cell a=3.8562 b=4.3832 c=6.2530 alpha=90.00 beta=107.82 gamma=90.00
Closest atoms and distances in Å follow each position.
Space group Pm (No. 6)
Inequivalent atoms, fractional coordinates:
Sr 0.0000 0.0000 0.0000 (multiplicity 1)  3 Cd 3.28-3.29, 4 Be 3.32
Be 0.6316 0.5000 0.2660 (multiplicity 1)  2 Cd 2.45
Cd 0.3005 0.5000 0.6031 (multiplicity 1)  2 Be 2.78-2.79, 4 Cd 3.06
Cd 0.7231 0.0000 0.4483 (multiplicity 1)  2 Be 2.45

Entry 5:
Nd5Ho3Sc: optimized geometry, PBE-GGA.

Summary:
E in eV per cell: -155.811
M_tot in μB per cell: 0.000
Mass density in Mg/m³: 6.21
Calculated formation energy in meV per atom: 550.1

Unit cell a=11.4338 b=11.5025 c=11.3693 alpha=90.00 beta=115.52 gamma=90.00
Closest atoms and distances in Å follow each position.
Space group C2/m (No. 12)
Inequivalent atoms, fractional coordinates:
Nd 0.0000 0.2457 0.0000 (multiplicity 4)  1 Ho 2.92
Nd 0.0282 0.0000 0.3793 (multiplicity 4)  2 Nd 3.08-3.19, 2 Ho 3.14-3.32
Nd 0.1963 0.0000 0.9114 (multiplicity 4)  1 Sc 3.17, 3 Ho 3.17-3.39, 1 Nd 3.19
Nd 0.1959 0.2677 0.6501 (multiplicity 8)  3 Ho 3.29-3.50, 1 Sc 3.60
Ho 0.0000 0.5000 0.0000 (multiplicity 2)  4 Nd 2.92-3.17, 2 Sc 2.94
Ho 0.0000 0.5000 0.5000 (multiplicity 2)  2 Sc 3.05
Ho 0.1234 0.0000 0.1587 (multiplicity 4)  1 Sc 3.06, 5 Nd 3.14-3.39
Ho 0.2018 0.5000 0.3444 (multiplicity 4)  1 Sc 3.04, 3 Nd 3.29-3.32
Sc 0.0921 0.5000 0.7952 (multiplicity 4)  4 Ho 2.94-3.06, 1 Nd 3.17

Entry 6:
Pm6IrPt2N: optimized geometry, PBE-GGA.

Summary:
E in eV per cell: -133.497
E_form (uncorrected) in meV/atom: -898
M_tot in μB per cell: 0.000
Mass density in Mg/m³: 9.60

Unit cell a=6.7569 b=7.4577 c=11.9528 alpha=90.00 beta=122.58 gamma=90.00
Closest atoms and distances in Å follow each position.
Space group P2_1/c (No. 14)
Inequivalent atoms, fractional coordinates:
Pm 0.1044 0.0387 0.2372 (multiplicity 4)  1 N 2.54, 1 Ir 2.84
Pm 0.2254 0.6910 0.0681 (multiplicity 4)  1 N 2.64, 1 Ir 2.79
Pm 0.3683 0.1697 0.0617 (multiplicity 4)  1 N 2.52
Ir 0.5000 0.0000 0.5000 (multiplicity 2)  6 Pm 2.79-2.85
Pt 0.3032 0.1047 0.7570 (multiplicity 4)  6 Pm 2.93-3.11
N 0.0000 0.0000 0.0000 (multiplicity 2)  6 Pm 2.52-2.64

Entry 7:
KTiH2Cl: optimized geometry, PBE-GGA.

Summary:
E in eV per cell: -11.452
M_tot in μB per cell: 1.994
Mass density in Mg/m³: 1.34

Unit cell a=5.3668 b=5.3668 c=5.3586 alpha=90.00 beta=90.00 gamma=90.00
Closest atoms and distances in Å follow each position.
Space group P4/mmm (No. 123)
Inequivalent atoms, fractional coordinates:
K 0.0000 0.0000 0.0000 (multiplicity 1)  2 Cl 2.68
Ti 0.5000 0.5000 0.0000 (multiplicity 1)  8 H 3.79, 4 K 3.79
H 0.0000 0.5000 0.5000 (multiplicity 2)  2 Cl 2.68
Cl 0.0000 0.0000 0.5000 (multiplicity 1)  2 K 2.68, 4 H 2.68

Entry 8:
Sc2ReP: optimized geometry, PBE-GGA.

Summary:
E in eV per cell: -63.097
M_tot in μB per cell: 0.002
Mass density in Mg/m³: 7.51
Calculated formation energy in meV per atom: -256.8

Unit cell a=3.8680 b=3.8680 c=9.0709 alpha=90.00 beta=90.00 gamma=90.00
Closest atoms and distances in Å follow each position.
Space group I-4m2 (No. 119)
Inequivalent atoms, fractional coordinates:
Sc 0.0000 0.0000 0.0000 (multiplicity 2)  4 Re 2.74, 4 Sc 2.98, 4 P 2.98
Sc 0.0000 0.5000 0.2500 (multiplicity 2)  4 P 2.74, 4 Re 2.98, 4 Sc 2.98
Re 0.0000 0.0000 0.5000 (multiplicity 2)  8 Sc 2.74-2.98, 4 P 2.98
P 0.0000 0.5000 0.7500 (multiplicity 2)  8 Sc 2.74-2.98, 4 Re 2.98

Entry 9:
Na3Hf3CuTe8: optimized geometry, PBE-GGA.

Summary:
E in eV per cell: -147.068
E_form (uncorrected) in meV/atom: -699
M_tot in μB per cell: 0.000
Mass density in Mg/m³: 6.22

Unit cell a=14.2347 b=8.2383 c=9.0327 alpha=90.00 beta=121.64 gamma=90.00
Closest atoms and distances in Å follow each position.
Space group C2/m (No. 12)
Inequivalent atoms, fractional coordinates:
Na 0.0000 0.0000 0.0000 (multiplicity 2)  6 Te 3.19-3.25
Na 0.2500 0.2500 0.0000 (multiplicity 4)  6 Te 3.19-3.25
Hf 0.0000 0.5000 0.5000 (multiplicity 2)  6 Te 2.88-2.93
Hf 0.2500 0.2500 0.5000 (multiplicity 4)  6 Te 2.88-2.93
Cu 0.0000 0.0000 0.5000 (multiplicity 2)  6 Te 2.84-2.87
Te 0.0125 0.2487 0.2888 (multiplicity 8)  1 Cu 2.87, 2 Hf 2.88
Te 0.2341 0.0000 0.7098 (multiplicity 4)  1 Cu 2.84, 2 Hf 2.89
Te 0.2409 0.5000 0.7227 (multiplicity 4)  3 Hf 2.93, 3 Na 3.19

Entry 10:
YThAlHg: optimized geometry, PBE-GGA.

Summary:
E in eV per cell: -76.611
M_tot in μB per cell: 0.000
Mass density in Mg/m³: 8.69
Calculated formation energy in meV per atom: -306.1

Unit cell a=7.4831 b=7.4831 c=7.4831 alpha=90.00 beta=90.00 gamma=90.00
Closest atoms and distances in Å follow each position.
Space group F-43m (No. 216)
Inequivalent atoms, fractional coordinates:
Y 0.0000 0.0000 0.0000 (multiplicity 4)  4 Al 3.24, 4 Hg 3.24
Th 0.0000 0.0000 0.5000 (multiplicity 4)  4 Hg 3.24, 4 Al 3.24
Al 0.2500 0.2500 0.2500 (multiplicity 4)  4 Th 3.24, 4 Y 3.24
Hg 0.2500 0.2500 0.7500 (multiplicity 4)  4 Th 3.24, 4 Y 3.24

Entry 11:
Tb2Mg3Sc2: optimized geometry, PBE-GGA.

Summary:
E in eV per cell: -48.540
M_tot in μB per cell: 0.000
Mass density in Mg/m³: 3.77
Calculated formation energy in meV per atom: 348.2

Unit cell a=15.5712 b=5.2066 c=5.4247 alpha=90.00 beta=105.41 gamma=90.00
Closest atoms and distances in Å follow each position.
Space group C2/m (No. 12)
Inequivalent atoms, fractional coordinates:
Tb 0.0773 0.0000 0.2817 (multiplicity 4)  4 Mg 3.19-3.22, 3 Sc 3.32-3.33, 1 Tb 3.35
Mg 0.0000 0.5000 0.5000 (multiplicity 2)  2 Sc 3.09, 4 Tb 3.22
Mg 0.1911 0.0000 0.8709 (multiplicity 4)  4 Sc 3.11-3.20, 2 Tb 3.19-3.22, 2 Mg 3.28
Sc 0.2012 0.5000 0.5374 (multiplicity 4)  5 Mg 3.09-3.20, 2 Sc 3.09, 3 Tb 3.32-3.33

Entry 12:
HoErCI: optimized geometry, PBE-GGA.

Summary:
E in eV per cell: -68.639
E_form (uncorrected) in meV/atom: -741
M_tot in μB per cell: 0.002
Mass density in Mg/m³: 8.79

Unit cell a=3.7358 b=3.7358 c=22.0898 alpha=90.00 beta=90.00 gamma=120.00
Closest atoms and distances in Å follow each position.
Space group R3m (No. 160, hexagonal axes)
Inequivalent atoms, fractional coordinates:
Ho 0.0000 0.0000 0.0000 (multiplicity 3)  3 C 2.52
Er 0.0000 0.0000 0.2204 (multiplicity 3)  3 C 2.46
C 0.0000 0.0000 0.6075 (multiplicity 3)  3 Er 2.46, 3 Ho 2.52
I 0.0000 0.0000 0.7775 (multiplicity 3)  3 Er 3.24, 3 Ho 3.26